No. 1
DFT (PBE) results for an optimized crystal structure of MgAlCl2.

Properties
Calculated volume, Å³/cell: 362.1
DOS at the Fermi energy, states/eV/f.u.: 1.7
Excess energy over the best structure of this formula in the dataset, eV per formula unit: 2.19
Total energy, eV/cell: -42.9

abc: 7.128 7.128 7.128
angles: 90.00 90.00 90.00
Space group Fm-3m (No. 225)
Inequivalent atoms, fractional coordinates:
Mg  0.000  0.000  0.000 (multiplicity 4)
Al  0.000  0.000  0.500 (multiplicity 4)
Cl  0.250  0.250  0.250 (multiplicity 8)

***

No. 2
DFT (PBE) results for an optimized crystal structure of MgAlCl2.

Properties
Calculated volume, Å³/cell: 201.1
DOS at the Fermi energy, states/eV/f.u.: 0.1
Excess energy over the best structure of this formula in the dataset, eV per formula unit: 0.53
Total energy, eV/cell: -24.8

abc: 3.479 6.159 9.385
angles: 90.00 90.00 90.00
Space group Cmm2 (No. 35)
Inequivalent atoms, fractional coordinates:
Mg  0.000  0.000  0.000 (multiplicity 2)
Al  0.000  0.500  0.237 (multiplicity 2)
Cl  0.000  0.000  0.417 (multiplicity 2)
Cl  0.000  0.500  0.829 (multiplicity 2)

***

No. 3
DFT (PBE) results for an optimized crystal structure of Mg2AlNCl.

Properties
Calculated volume, Å³/cell: 106.3
DOS at the Fermi energy, states/eV/f.u.: 2.1
Total energy, eV/cell: -17.0

abc: 5.433 5.433 3.603
angles: 90.00 90.00 90.00
Space group P4/mmm (No. 123)
Inequivalent atoms, fractional coordinates:
Mg  0.000  0.500  0.000 (multiplicity 2)
Al  0.000  0.000  0.000 (multiplicity 1)
N  0.000  0.000  0.500 (multiplicity 1)
Cl  0.500  0.500  0.500 (multiplicity 1)

***

No. 4
DFT (PBE) results for an optimized crystal structure of NaMgAlCl6.

Properties
Calculated volume, Å³/cell: 429.6
DOS at the Fermi energy, states/eV/f.u.: 0.0
Total energy, eV/cell: -65.9

abc: 6.3137 6.3137 12.4448
angles: 90.00 90.00 120.00
Space group P-31c (No. 163)
Inequivalent atoms, fractional coordinates:
Na  0.0000  0.0000  0.0000 (multiplicity 2)
Mg  0.3333  0.6667  0.2500 (multiplicity 2)
Al  0.3333  0.6667  0.7500 (multiplicity 2)
Cl  0.0196  0.3738  0.6408 (multiplicity 12)

***

No. 5
DFT (PBE) results for an optimized crystal structure of MgAlPCl2.

Properties
Calculated volume, Å³/cell: 107.3
DOS at the Fermi energy, states/eV/f.u.: 1.3
Excess energy over the best structure of this formula in the dataset, eV per formula unit: 0.00
Total energy, eV/cell: -16.7

abc: 4.604 4.604 5.061
angles: 90.00 90.00 90.00
Space group P4/mmm (No. 123)
Inequivalent atoms, fractional coordinates:
Mg  0.000  0.000  0.000 (multiplicity 1)
Al  0.500  0.500  0.500 (multiplicity 1)
P  0.500  0.500  0.000 (multiplicity 1)
Cl  0.000  0.500  0.500 (multiplicity 2)

***

No. 6
DFT (PBE) results for an optimized crystal structure of MgAlP2Cl.

Properties
Calculated volume, Å³/cell: 105.8
DOS at the Fermi energy, states/eV/f.u.: 3.8
Excess energy over the best structure of this formula in the dataset, eV per formula unit: 0.00
Total energy, eV/cell: -17.7

abc: 4.668 4.668 4.856
angles: 90.00 90.00 90.00
Space group P4/mmm (No. 123)
Inequivalent atoms, fractional coordinates:
Mg  0.000  0.000  0.000 (multiplicity 1)
Al  0.500  0.500  0.500 (multiplicity 1)
P  0.000  0.500  0.500 (multiplicity 2)
Cl  0.500  0.500  0.000 (multiplicity 1)

***

Question: DOS at the Fermi energy of number 4 (NaMgAlCl6)?
Answer: 0.0 states/eV/f.u.